Record 1
Density functional theory data (meta-GGA SCAN) for a crystal of SrTe2W relaxed with PBEsol.

The structure in CIF format:
```
data_SrTe2W
_space_group_name_H-M_alt 'P 4 m m'
_space_group_IT_number 99
_cell_length_a 4.155
_cell_length_b 4.155
_cell_length_c 6.529
_cell_angle_alpha 90.00
_cell_angle_beta 90.00
_cell_angle_gamma 90.00
loop_
_space_group_symop_operation_xyz
'x,y,z'
'-y,x,z'
'-x,-y,z'
'y,-x,z'
'-x,y,z'
'y,x,z'
'x,-y,z'
'-y,-x,z'
loop_
_atom_site_label
_atom_site_type_symbol
_atom_site_fract_x
_atom_site_fract_y
_atom_site_fract_z
Sr1 Sr 0.000 0.000 0.000
Te1 Te 0.000 0.000 0.522
Te2 Te 0.500 0.500 0.153
W1 W 0.500 0.500 0.582
```

V ... 28.19 Å³/atom
Theoretical density ... 7.76 g cm⁻³
Distance to the lowest polymorph of the same formula ... 0.000 eV/atom
Total energy ... -1.5265 hartree per atom
Total moment ... 3.86 μB per formula unit
Energy relative to the elements, uncorrected ... 77 meV per atom



Record 2
Density functional theory data (meta-GGA SCAN) for a crystal of SrZnTeW2 relaxed with PBEsol.

The structure in CIF format:
```
data_SrZnTeW2
_space_group_name_H-M_alt 'P 4/m m m'
_space_group_IT_number 123
_space_group_name_Hall '-P 4 2'
_cell_length_a 4.918
_cell_length_b 4.918
_cell_length_c 5.811
_cell_angle_alpha 90.00
_cell_angle_beta 90.00
_cell_angle_gamma 90.00
loop_
_atom_site_label
_atom_site_type_symbol
_atom_site_fract_x
_atom_site_fract_y
_atom_site_fract_z
Sr1 Sr 0.000 0.000 0.000
Zn1 Zn 0.500 0.500 0.000
Te1 Te 0.000 0.000 0.500
W1 W 0.000 0.500 0.500
```

V ... 28.11 Å³/atom
Theoretical density ... 7.66 g cm⁻³
Total energy ... -1.4897 hartree per atom
Total moment ... 0.00 μB per formula unit
Energy relative to the elements, uncorrected ... 1948 meV per atom



Record 3
Density functional theory data (meta-GGA SCAN) for a crystal of SrY2Te relaxed with PBEsol.

The structure in CIF format:
```
data_SrY2Te
_space_group_name_H-M_alt 'C 1 2/m 1'
_space_group_IT_number 12
_cell_length_a 6.839
_cell_length_b 11.548
_cell_length_c 3.757
_cell_angle_alpha 90.00
_cell_angle_beta 122.10
_cell_angle_gamma 90.00
loop_
_space_group_symop_operation_xyz
'x,y,z'
'-x,-y,-z'
'-x,y,-z'
'x,-y,z'
'x+1/2,y+1/2,z'
'-x+1/2,-y+1/2,-z'
'-x+1/2,y+1/2,-z'
'x+1/2,-y+1/2,z'
loop_
_atom_site_label
_atom_site_type_symbol
_atom_site_fract_x
_atom_site_fract_y
_atom_site_fract_z
Sr1 Sr 0.000 0.000 0.000
Y1 Y 0.250 0.250 0.500
Te1 Te 0.000 0.500 0.000
```

V ... 31.42 Å³/atom
Theoretical density ... 5.19 g cm⁻³
Total energy ... -1.0712 hartree per atom
Total moment ... 0.00 μB per formula unit
Energy relative to the elements, uncorrected ... -346 meV per atom



Record 4
Density functional theory data (meta-GGA SCAN) for a crystal of SrY2Te relaxed with PBEsol.

The structure in CIF format:
```
data_SrY2Te
_space_group_name_H-M_alt 'I 4/m m m'
_space_group_IT_number 139
_space_group_name_Hall '-I 4 2'
_cell_length_a 4.704
_cell_length_b 4.704
_cell_length_c 10.965
_cell_angle_alpha 90.00
_cell_angle_beta 90.00
_cell_angle_gamma 90.00
loop_
_atom_site_label
_atom_site_type_symbol
_atom_site_fract_x
_atom_site_fract_y
_atom_site_fract_z
Sr1 Sr 0.000 0.000 0.000
Y1 Y 0.000 0.500 0.250
Te1 Te 0.000 0.000 0.500
```

V ... 30.34 Å³/atom
Theoretical density ... 5.38 g cm⁻³
Total energy ... -1.0716 hartree per atom
Total moment ... 0.00 μB per formula unit
Energy relative to the elements, uncorrected ... -356 meV per atom



Record 5
Density functional theory data (meta-GGA SCAN) for a crystal of SrZnTe2 relaxed with PBEsol.

The structure in CIF format:
```
data_SrZnTe2
_space_group_name_H-M_alt 'R -3 m'
_space_group_IT_number 166
_space_group_name_Hall '-R 3 2"'
_cell_length_a 5.0751
_cell_length_b 5.0751
_cell_length_c 23.8046
_cell_angle_alpha 90.00
_cell_angle_beta 90.00
_cell_angle_gamma 120.00
loop_
_atom_site_label
_atom_site_type_symbol
_atom_site_fract_x
_atom_site_fract_y
_atom_site_fract_z
Sr1 Sr 0.0000 0.0000 0.0000
Zn1 Zn 0.0000 0.0000 0.5000
Te1 Te 0.0000 0.0000 0.3980
```

V ... 44.25 Å³/atom
Theoretical density ... 3.83 g cm⁻³
Total energy ... -1.0479 hartree per atom
Total moment ... 0.00 μB per formula unit
Energy relative to the elements, uncorrected ... -941 meV per atom



Record 6
Density functional theory data (meta-GGA SCAN) for a crystal of SrZnTe2 relaxed with PBEsol.

The structure in CIF format:
```
data_SrZnTe2
_space_group_name_H-M_alt 'I -4 2 d'
_space_group_IT_number 122
_space_group_name_Hall 'I -4 2bw'
_cell_length_a 7.687
_cell_length_b 7.687
_cell_length_c 8.514
_cell_angle_alpha 90.00
_cell_angle_beta 90.00
_cell_angle_gamma 90.00
loop_
_atom_site_label
_atom_site_type_symbol
_atom_site_fract_x
_atom_site_fract_y
_atom_site_fract_z
Sr1 Sr 0.000 0.000 0.000
Zn1 Zn 0.000 0.000 0.500
Te1 Te 0.186 0.750 0.625
```

V ... 31.45 Å³/atom
Theoretical density ... 5.39 g cm⁻³
Total energy ... -1.0518 hartree per atom
Total moment ... 0.00 μB per formula unit
Energy relative to the elements, uncorrected ... -1048 meV per atom



Record 7
Density functional theory data (meta-GGA SCAN) for a crystal of SrZnTe relaxed with PBEsol.

The structure in CIF format:
```
data_SrZnTe
_space_group_name_H-M_alt 'I 4 m m'
_space_group_IT_number 107
_space_group_name_Hall 'I 4 -2'
_cell_length_a 3.980
_cell_length_b 3.980
_cell_length_c 10.549
_cell_angle_alpha 90.00
_cell_angle_beta 90.00
_cell_angle_gamma 90.00
loop_
_atom_site_label
_atom_site_type_symbol
_atom_site_fract_x
_atom_site_fract_y
_atom_site_fract_z
Sr1 Sr 0.000 0.000 0.000
Zn1 Zn 0.000 0.000 0.683
Te1 Te 0.000 0.000 0.317
```

V ... 27.86 Å³/atom
Theoretical density ... 5.58 g cm⁻³
Total energy ... -0.9209 hartree per atom
Total moment ... 0.00 μB per formula unit
Energy relative to the elements, uncorrected ... -710 meV per atom



Record 8
Density functional theory data (meta-GGA SCAN) for a crystal of SrZnTe2 relaxed with PBEsol.

The structure in CIF format:
```
data_SrZnTe2
_space_group_name_H-M_alt 'P 4 m m'
_space_group_IT_number 99
_cell_length_a 4.362
_cell_length_b 4.362
_cell_length_c 6.694
_cell_angle_alpha 90.00
_cell_angle_beta 90.00
_cell_angle_gamma 90.00
loop_
_space_group_symop_operation_xyz
'x,y,z'
'-y,x,z'
'-x,-y,z'
'y,-x,z'
'-x,y,z'
'y,x,z'
'x,-y,z'
'-y,-x,z'
loop_
_atom_site_label
_atom_site_type_symbol
_atom_site_fract_x
_atom_site_fract_y
_atom_site_fract_z
Sr1 Sr 0.000 0.000 0.000
Zn1 Zn 0.500 0.500 0.537
Te1 Te 0.000 0.000 0.483
Te2 Te 0.500 0.500 0.927
```

V ... 31.84 Å³/atom
Theoretical density ... 5.32 g cm⁻³
Total energy ... -1.0448 hartree per atom
Total moment ... 0.00 μB per formula unit
Energy relative to the elements, uncorrected ... -857 meV per atom



Record 9
Density functional theory data (meta-GGA SCAN) for a crystal of SrZnTe2 relaxed with PBEsol.

The structure in CIF format:
```
data_SrZnTe2
_space_group_name_H-M_alt 'C 1 m 1'
_space_group_IT_number 8
_cell_length_a 12.876
_cell_length_b 4.281
_cell_length_c 4.783
_cell_angle_alpha 90.00
_cell_angle_beta 92.39
_cell_angle_gamma 90.00
loop_
_space_group_symop_operation_xyz
'x,y,z'
'x,-y,z'
'x+1/2,y+1/2,z'
'x+1/2,-y+1/2,z'
loop_
_atom_site_label
_atom_site_type_symbol
_atom_site_fract_x
_atom_site_fract_y
_atom_site_fract_z
Sr1 Sr 0.000 0.000 0.000
Zn1 Zn 0.224 0.500 0.771
Te1 Te 0.050 0.500 0.504
Te2 Te 0.288 0.000 0.032
```

V ... 32.93 Å³/atom
Theoretical density ... 5.15 g cm⁻³
Total energy ... -1.0515 hartree per atom
Total moment ... 0.00 μB per formula unit
Energy relative to the elements, uncorrected ... -1039 meV per atom



Record 10
Density functional theory data (meta-GGA SCAN) for a crystal of Sr3ZnTe relaxed with PBEsol.

The structure in CIF format:
```
data_Sr3ZnTe
_space_group_name_H-M_alt 'P m -3 m'
_space_group_IT_number 221
_space_group_name_Hall '-P 4 2 3'
_cell_length_a 5.844
_cell_length_b 5.844
_cell_length_c 5.844
_cell_angle_alpha 90.00
_cell_angle_beta 90.00
_cell_angle_gamma 90.00
loop_
_atom_site_label
_atom_site_type_symbol
_atom_site_fract_x
_atom_site_fract_y
_atom_site_fract_z
Sr1 Sr 0.000 0.000 0.500
Zn1 Zn 0.000 0.000 0.000
Te1 Te 0.500 0.500 0.500
```

V ... 39.92 Å³/atom
Theoretical density ... 3.79 g cm⁻³
Distance to the lowest polymorph of the same formula ... 0.000 eV/atom
Total energy ... -0.8798 hartree per atom
Total moment ... 0.00 μB per formula unit
Energy relative to the elements, uncorrected ... -423 meV per atom



Record 11
Density functional theory data (meta-GGA SCAN) for a crystal of SrZnTe2 relaxed with PBEsol.

The structure in CIF format:
```
data_SrZnTe2
_space_group_name_H-M_alt 'P 1 m 1'
_space_group_IT_number 6
_cell_length_a 4.738
_cell_length_b 4.432
_cell_length_c 6.662
_cell_angle_alpha 90.00
_cell_angle_beta 98.96
_cell_angle_gamma 90.00
loop_
_space_group_symop_operation_xyz
'x,y,z'
'x,-y,z'
loop_
_atom_site_label
_atom_site_type_symbol
_atom_site_fract_x
_atom_site_fract_y
_atom_site_fract_z
Sr1 Sr 0.000 0.000 0.000
Zn1 Zn 0.201 0.500 0.615
Te1 Te 0.494 0.500 0.977
Te2 Te 0.944 0.000 0.484
```

V ... 34.55 Å³/atom
Theoretical density ... 4.91 g cm⁻³
Total energy ... -1.0521 hartree per atom
Total moment ... 0.00 μB per formula unit
Energy relative to the elements, uncorrected ... -1057 meV per atom



Record 12
Density functional theory data (meta-GGA SCAN) for a crystal of SrTiW3 relaxed with PBEsol.

The structure in CIF format:
```
data_SrTiW3
_space_group_name_H-M_alt 'P m -3 m'
_space_group_IT_number 221
_space_group_name_Hall '-P 4 2 3'
_cell_length_a 4.718
_cell_length_b 4.718
_cell_length_c 4.718
_cell_angle_alpha 90.00
_cell_angle_beta 90.00
_cell_angle_gamma 90.00
loop_
_atom_site_label
_atom_site_type_symbol
_atom_site_fract_x
_atom_site_fract_y
_atom_site_fract_z
Sr1 Sr 0.000 0.000 0.000
Ti1 Ti 0.500 0.500 0.500
W1 W 0.000 0.500 0.500
```

V ... 21.00 Å³/atom
Theoretical density ... 10.87 g cm⁻³
Total energy ... -1.7487 hartree per atom
Total moment ... 0.00 μB per formula unit
Formation enthalpy at 0 K ... 182.2 kJ per mole of atoms



Record 13
Density functional theory data (meta-GGA SCAN) for a crystal of SrYTi2 relaxed with PBEsol.

The structure in CIF format:
```
data_SrYTi2
_space_group_name_H-M_alt 'F m -3 m'
_space_group_IT_number 225
_space_group_name_Hall '-F 4 2 3'
_cell_length_a 7.457
_cell_length_b 7.457
_cell_length_c 7.457
_cell_angle_alpha 90.00
_cell_angle_beta 90.00
_cell_angle_gamma 90.00
loop_
_atom_site_label
_atom_site_type_symbol
_atom_site_fract_x
_atom_site_fract_y
_atom_site_fract_z
Sr1 Sr 0.000 0.000 0.000
Y1 Y 0.000 0.000 0.500
Ti1 Ti 0.250 0.250 0.250
```

V ... 25.92 Å³/atom
Theoretical density ... 4.36 g cm⁻³
Total energy ... -0.7283 hartree per atom
Total moment ... 4.95 μB per formula unit
Formation enthalpy at 0 K ... 70.1 kJ per mole of atoms



Record 14
Density functional theory data (meta-GGA SCAN) for a crystal of Sr3TiZn relaxed with PBEsol.

The structure in CIF format:
```
data_Sr3TiZn
_space_group_name_H-M_alt 'P m -3 m'
_space_group_IT_number 221
_space_group_name_Hall '-P 4 2 3'
_cell_length_a 6.088
_cell_length_b 6.088
_cell_length_c 6.088
_cell_angle_alpha 90.00
_cell_angle_beta 90.00
_cell_angle_gamma 90.00
loop_
_atom_site_label
_atom_site_type_symbol
_atom_site_fract_x
_atom_site_fract_y
_atom_site_fract_z
Sr1 Sr 0.000 0.000 0.500
Ti1 Ti 0.000 0.000 0.000
Zn1 Zn 0.500 0.500 0.500
```

V ... 45.14 Å³/atom
Theoretical density ... 2.77 g cm⁻³
Total energy ... -0.6776 hartree per atom
Total moment ... 4.11 μB per formula unit
Formation enthalpy at 0 K ... 80.7 kJ per mole of atoms